Here is crystalline GdHfRe at its relaxed geometry from the Open Quantum Materials Database. Energies are from PBE-GGA.

Lattice parameters (Å, degrees): 6.560 6.560 6.560 90.00 90.00 90.00
Space group F-43m (No. 216)
Asymmetric unit:
Gd 0.000 0.000 0.000 [4 per cell]
Hf 0.250 0.250 0.750 [4 per cell]
Re 0.250 0.250 0.250 [4 per cell]

Summary:
As for the volume: 23.52 Å³ per atom. The total magnetic moment is 0.01 μB/f.u. As for the crystal system: cubic. The total DFT energy (no corrections) is -91.46 eV/cell. The formation enthalpy at 0 K is 134 kJ per mole of atoms.

Here is crystalline ZrTlGe at its relaxed geometry from the Open Quantum Materials Database. Energies are from PBE-GGA.

Lattice parameters (Å, degrees): 6.758 6.758 6.758 90.00 90.00 90.00
Space group F-43m (No. 216)
Asymmetric unit:
Zr 0.000 0.000 0.000 [4 per cell]
Tl 0.250 0.250 0.250 [4 per cell]
Ge 0.250 0.250 0.750 [4 per cell]

Summary:
As for the volume: 25.72 Å³ per atom. The total magnetic moment is 0.00 μB/f.u. The value obtained for the relative energy among the computed polymorphs is 0 meV/atom. As for the crystal system: cubic. The total DFT energy (no corrections) is -59.35 eV/cell.

Here is crystalline Pm2Ho at its relaxed geometry from the Open Quantum Materials Database. Energies are from PBE-GGA.

Lattice parameters (Å, degrees): 12.836 12.836 12.836 90.00 90.00 90.00
Space group Fd-3m (No. 227, origin choice 2)
Asymmetric unit:
Pm 0.000 0.000 0.000 [16 per cell]
Ho 0.125 0.125 0.125 [8 per cell]

Summary:
As for the volume: 88.12 Å³ per atom. The total magnetic moment is 0.02 μB/f.u. The value obtained for the relative energy among the computed polymorphs is 2040 meV/atom. As for the crystal system: cubic. The total DFT energy (no corrections) is -57.37 eV/cell. The formation enthalpy at 0 K is 222 kJ per mole of atoms.

Here is crystalline NaAlPt at its relaxed geometry from the Open Quantum Materials Database. Energies are from PBE-GGA.

Lattice parameters (Å, degrees): 6.202 6.202 6.202 90.00 90.00 90.00
Space group F-43m (No. 216)
Asymmetric unit:
Na 0.000 0.000 0.000 [4 per cell]
Al 0.000 0.000 0.500 [4 per cell]
Pt 0.250 0.250 0.750 [4 per cell]

Summary:
As for the volume: 19.88 Å³ per atom. The total magnetic moment is 0.00 μB/f.u. As for the crystal system: cubic. The total DFT energy (no corrections) is -47.70 eV/cell.